DFT (PBE) results for Li2TlInH after structural relaxation.

The raw total energy is -0.18785 Ry/atom. As for the excess energy over the best structure of this formula in the dataset: 0.0000 eV per atom. The calculation puts the total magnetization at 0.00 μB/f.u.

Lattice parameters (Å, degrees): 4.4550 4.4550 4.3539 90.00 90.00 90.00
Closest atoms and distances in Å follow each position.
Fractional positions:
Tl 0.5000 0.5000 0.5000  8 Li 3.11, 4 In 3.15
Li 0.5000 0.0000 0.0000  2 H 2.23
Li 0.0000 0.5000 0.0000  2 H 2.23
In 0.0000 0.0000 0.5000  2 H 2.18
H 0.0000 0.0000 0.0000  2 In 2.18, 4 Li 2.23